# 1
Computed, not measured: an optimized crystal structure of NdMoClO4 at the GGA+U level of DFT.

abc: 7.047 7.559 20.153
angles: 90.00 90.00 90.00
Sites, in units of the cell vectors:
O 0.770 0.815 0.656
O 0.641 0.000 0.859
O 0.770 0.185 0.656
O 0.359 0.000 0.141
O 0.458 0.000 0.731
O 0.556 0.500 0.898
O 0.944 0.500 0.398
O 0.071 0.685 0.098
O 0.958 0.000 0.769
O 0.270 0.815 0.844
O 0.571 0.685 0.402
O 0.042 0.000 0.231
O 0.071 0.315 0.098
O 0.722 0.500 0.520
O 0.542 0.000 0.269
O 0.444 0.500 0.102
O 0.571 0.315 0.402
O 0.278 0.500 0.480
O 0.230 0.815 0.344
O 0.778 0.500 0.020
O 0.429 0.685 0.598
O 0.222 0.500 0.980
O 0.730 0.815 0.156
O 0.429 0.315 0.598
O 0.230 0.185 0.344
O 0.270 0.185 0.844
O 0.056 0.500 0.602
O 0.730 0.185 0.156
O 0.141 0.000 0.641
O 0.929 0.315 0.902
O 0.929 0.685 0.902
O 0.859 0.000 0.359
Mo 0.712 0.500 0.432
Mo 0.212 0.500 0.068
Mo 0.418 0.000 0.818
Mo 0.918 0.000 0.682
Mo 0.082 0.000 0.318
Mo 0.288 0.500 0.568
Mo 0.582 0.000 0.182
Mo 0.788 0.500 0.932
Nd 0.973 0.000 0.889
Nd 0.527 0.000 0.389
Nd 0.027 0.000 0.111
Nd 0.731 0.500 0.640
Nd 0.269 0.500 0.360
Nd 0.769 0.500 0.140
Nd 0.473 0.000 0.611
Nd 0.231 0.500 0.860
Cl 0.260 0.000 0.492
Cl 0.760 0.000 0.008
Cl 0.535 0.500 0.255
Cl 0.035 0.500 0.245
Cl 0.240 0.000 0.992
Cl 0.465 0.500 0.745
Cl 0.965 0.500 0.755
Cl 0.740 0.000 0.508

Summary:
* ΔE to the lowest computed polymorph: 5 meV/atom

***

# 2
Computed, not measured: an optimized crystal structure of Nd3MoCl2O6 at the GGA+U level of DFT.

abc: 5.616 6.781 6.828
angles: 119.77 81.77 90.00
Site moments in Bohr magnetons follow the coordinates.
Sites, in units of the cell vectors:
Cl 0.132 0.713 0.426  0.00
Cl 0.868 0.287 0.574  0.00
Nd 0.500 0.000 0.500  0.01
Nd 0.500 0.500 0.500  0.01
Nd 0.000 0.500 0.000  0.00
O 0.699 0.822 0.118  0.01
O 0.301 0.178 0.882  0.01
O 0.301 0.704 0.882  0.01
O 0.667 0.842 0.685  -0.02
O 0.699 0.296 0.118  0.01
O 0.333 0.158 0.315  -0.02
Mo 0.500 0.000 0.000  0.95

Summary:
* final energy: -6.90 eV per atom

***

# 3
Computed, not measured: an optimized crystal structure of NdMoClO4 at the GGA+U level of DFT.

abc: 6.493 6.493 7.072
angles: 76.52 76.52 71.21
Sites, in units of the cell vectors:
Mo 0.638 0.638 0.732
Mo 0.362 0.362 0.268
O 0.708 0.708 0.472
O 0.463 0.463 0.791
O 0.882 0.511 0.849
O 0.292 0.292 0.528
O 0.489 0.118 0.151
O 0.537 0.537 0.209
O 0.511 0.882 0.849
O 0.118 0.489 0.151
Nd 0.777 0.777 0.115
Nd 0.223 0.223 0.885
Cl 0.988 0.988 0.766
Cl 0.012 0.012 0.234

Summary:
* ΔE to the lowest computed polymorph: 0 meV/atom

***

# 4
Computed, not measured: an optimized crystal structure of Nd5Te7MoCl3O23 at the GGA+U level of DFT.

abc: 7.701 10.096 18.615
angles: 87.20 82.63 67.58
Sites, in units of the cell vectors:
Nd 0.529 0.220 0.863
Nd 0.300 0.512 0.258
Nd 0.708 0.479 0.739
Nd 0.230 0.540 0.500
Nd 0.251 0.220 0.137
Nd 0.748 0.775 0.866
Nd 0.478 0.775 0.134
Nd 0.188 0.512 0.742
Nd 0.758 0.484 0.500
Nd 0.814 0.479 0.261
O 0.169 0.307 0.265
O 0.881 0.014 0.087
O 0.768 0.997 0.811
O 0.412 0.619 0.695
O 0.358 0.338 0.613
O 0.633 0.677 0.389
O 0.882 0.514 0.838
O 0.836 0.265 0.826
O 0.917 0.366 0.388
O 0.501 0.289 0.163
O 0.512 0.004 0.078
O 0.103 0.846 0.302
O 0.482 0.693 0.262
O 0.079 0.477 0.161
O 0.439 0.635 0.539
O 0.897 0.138 0.688
O 0.927 0.635 0.461
O 0.210 0.289 0.837
O 0.069 0.374 0.535
O 0.235 0.997 0.189
O 0.483 0.004 0.922
O 0.557 0.374 0.465
O 0.291 0.627 0.381
O 0.106 0.014 0.913
O 0.305 0.338 0.387
O 0.900 0.265 0.174
O 0.853 0.842 0.972
O 0.051 0.846 0.698
O 0.604 0.514 0.162
O 0.081 0.627 0.619
O 0.031 0.378 0.693
O 0.306 0.842 0.028
O 0.717 0.366 0.612
O 0.104 0.697 0.838
O 0.964 0.138 0.312
O 0.792 0.738 0.154
O 0.969 0.619 0.305
O 0.825 0.693 0.738
O 0.525 0.307 0.735
O 0.592 0.378 0.307
O 0.445 0.477 0.839
O 0.200 0.697 0.162
O 0.692 0.162 0.970
O 0.470 0.738 0.846
O 0.690 0.677 0.611
O 0.146 0.162 0.030
Cl 0.700 0.600 0.000
Cl 0.471 0.057 0.500
Cl 0.055 0.891 0.500
Cl 0.434 0.008 0.707
Cl 0.558 0.008 0.293
Cl 0.305 0.391 0.000
Te 0.836 0.753 0.381
Te 0.038 0.650 0.106
Te 0.998 0.006 0.763
Te 0.859 0.787 0.648
Te 0.701 0.334 0.112
Te 0.581 0.252 0.387
Te 0.150 0.216 0.358
Te 0.167 0.252 0.613
Te 0.965 0.334 0.888
Te 0.311 0.650 0.894
Te 0.412 0.753 0.619
Te 0.355 0.787 0.352
Te 0.633 0.216 0.642
Te 0.996 0.006 0.237
Mo 0.263 0.004 0.976
Mo 0.734 0.004 0.024

Summary:
* final energy: -6.36 eV per atom

***

Number 1: calculated volume 19.2 A^3/atom, ρ 4.2 g/cm³. Number 2: calculated volume 18.5 A^3/atom, ρ 5.2 g/cm³. Number 3: calculated volume 19.3 A^3/atom, ρ 4.2 g/cm³. Number 4: calculated volume 17.0 A^3/atom, ρ 5.5 g/cm³.